Here is an optimized crystal structure of CaAlAg2 from the Alexandria database. Energies are from PBE.

Values from the calculation:
Energy in eV/atom: -2.96
Formation enthalpy at 0 K in meV per atom: -100.1
Calculated density in g/cm³: 5.7
Total magnetization in μB/f.u.: 0.000

Lattice parameters (Å, degrees): 4.8936 4.8936 4.8936 60.00 60.00 60.00
Last column: nearest neighbours and their distance in Å.
Fractional positions:
Ag  0.7500  0.7500  0.7500  4 Al 3.00, 4 Ag 3.00
Ag  0.0000  0.0000  0.0000  4 Ca 3.00, 4 Ag 3.00
Al  0.5000  0.5000  0.5000  4 Ag 3.00, 4 Ca 3.00
Ca  0.2500  0.2500  0.2500  4 Al 3.00, 4 Ag 3.00